Record 1
# SrInGa2Tc

A relaxed structure of SrInGa2Tc (PBE, the Alexandria database).

Cell lengths 4.904, 4.904, 5.179 Å; angles 90.00, 90.00, 90.00 degrees
Element x y z (fractional)
Sr 0.500 0.500 0.500
Tc 0.000 0.000 0.000
Ga 0.000 0.500 0.000
Ga 0.500 0.000 0.000
In 0.000 0.000 0.500

Calculated values
VASP energy   -4.420 eV/atom
DFT formation energy   -24 kJ per mole of atoms
Magnetic moment   0.00 μB/cell
Crystal system   tetragonal

***

Record 2
# Sr3Tl2In6Ga

A relaxed structure of Sr3Tl2In6Ga (PBE, the Alexandria database).

Cell lengths 6.250, 6.250, 10.796 Å; angles 90.00, 90.00, 120.00 degrees
Element x y z (fractional)
Sr 0.333 0.667 0.571
Sr 0.667 0.333 0.429
Sr 0.000 0.000 0.000
Tl 0.667 0.333 0.074
Tl 0.333 0.667 0.926
In 0.662 0.831 0.271
In 0.169 0.338 0.271
In 0.169 0.831 0.271
In 0.831 0.662 0.729
In 0.338 0.169 0.729
In 0.831 0.169 0.729
Ga 0.000 0.000 0.500

Calculated values
VASP energy   -2.677 eV/atom
DFT formation energy   -23 kJ per mole of atoms
Magnetic moment   0.00 μB/cell
Crystal system   trigonal

***

Record 3
# SrTmInGa

A relaxed structure of SrTmInGa (PBE, the Alexandria database).

Cell lengths 5.380, 5.380, 5.380 Å; angles 60.00, 60.00, 60.00 degrees
Element x y z (fractional)
Sr 0.000 0.000 0.000
Tm 0.500 0.500 0.500
Ga 0.250 0.250 0.250
In 0.750 0.750 0.750

Calculated values
VASP energy   -3.334 eV/atom
DFT formation energy   -34 kJ per mole of atoms
Magnetic moment   0.00 μB/cell
Crystal system   cubic

***

Record 4
# SrYInGa2

A relaxed structure of SrYInGa2 (PBE, the Alexandria database).

Cell lengths 5.298, 5.869, 5.298 Å; angles 90.00, 90.00, 90.00 degrees
Element x y z (fractional)
Y 0.500 0.500 0.500
Sr 0.000 0.500 0.000
Ga 0.000 0.000 0.500
Ga 0.500 0.000 0.000
In 0.000 0.000 0.000

Calculated values
VASP energy   -2.964 eV/atom
DFT formation energy   41 kJ per mole of atoms
Magnetic moment   0.00 μB/cell
Crystal system   tetragonal

***

Record 5
# Sr2ZnIn4Ga3

A relaxed structure of Sr2ZnIn4Ga3 (PBE, the Alexandria database).

Cell lengths 4.692, 4.692, 11.623 Å; angles 90.00, 90.00, 90.00 degrees
Element x y z (fractional)
Sr 0.500 0.000 0.258
Sr 0.000 0.500 0.742
Zn 0.500 0.500 0.500
In 0.500 0.500 0.000
In 0.000 0.000 0.000
In 0.500 0.000 0.629
In 0.000 0.500 0.371
Ga 0.000 0.000 0.500
Ga 0.500 0.000 0.860
Ga 0.000 0.500 0.140

Calculated values
VASP energy   -2.779 eV/atom
DFT formation energy   -30 kJ per mole of atoms
Magnetic moment   0.00 μB/cell
Crystal system   tetragonal

***

Record 6
# Sr2Zn3InGa4

A relaxed structure of Sr2Zn3InGa4 (PBE, the Alexandria database).

Cell lengths 4.434, 4.434, 11.122 Å; angles 90.00, 90.00, 90.00 degrees
Element x y z (fractional)
Sr 0.500 0.000 0.242
Sr 0.000 0.500 0.758
Zn 0.000 0.000 0.500
Zn 0.500 0.000 0.873
Zn 0.000 0.500 0.127
In 0.500 0.500 0.500
Ga 0.500 0.500 0.000
Ga 0.000 0.000 0.000
Ga 0.500 0.000 0.647
Ga 0.000 0.500 0.353

Calculated values
VASP energy   -2.558 eV/atom
DFT formation energy   -34 kJ per mole of atoms
Magnetic moment   0.00 μB/cell
Crystal system   tetragonal